# CrP3W | Alexandria via LeMat-Bulk | PBE | optimized geometry
data_CrP3W
_space_group_name_H-M_alt 'P m -3 m'
_space_group_IT_number 221
_space_group_name_Hall '-P 4 2 3'
_cell_length_a 4.6639
_cell_length_b 4.6639
_cell_length_c 4.6639
_cell_angle_alpha 90.00
_cell_angle_beta 90.00
_cell_angle_gamma 90.00
loop_
_atom_site_label
_atom_site_type_symbol
_atom_site_fract_x
_atom_site_fract_y
_atom_site_fract_z
Cr1 Cr 0.0000 0.0000 0.0000
P1 P 0.0000 0.5000 0.5000
W1 W 0.5000 0.5000 0.5000
# - final energy (eV/atom) = -6.53
# - energy of formation (eV/atom) = 1.23
# - spin magnetization (μB/cell) = 0.40


# K2Sb2Pt | Alexandria via LeMat-Bulk | PBE | optimized geometry
data_K2Sb2Pt
_space_group_name_H-M_alt 'P 4/m b m'
_space_group_IT_number 127
_space_group_name_Hall '-P 4 2ab'
_cell_length_a 7.0471
_cell_length_b 7.0471
_cell_length_c 5.8752
_cell_angle_alpha 90.00
_cell_angle_beta 90.00
_cell_angle_gamma 90.00
loop_
_atom_site_label
_atom_site_type_symbol
_atom_site_fract_x
_atom_site_fract_y
_atom_site_fract_z
K1 K 0.1706 0.3294 0.0000
Sb1 Sb 0.1469 0.6469 0.5000
Pt1 Pt 0.0000 0.0000 0.5000
# - final energy (eV/atom) = -3.73
# - formation energy from raw total energies (eV/atom) = -0.431
# - spin magnetization (μB/cell) = 0.00


# BeReBr | Alexandria via LeMat-Bulk | PBE | optimized geometry
data_BeReBr
_space_group_name_H-M_alt 'I 4 m m'
_space_group_IT_number 107
_space_group_name_Hall 'I 4 -2'
_cell_length_a 2.9853
_cell_length_b 2.9853
_cell_length_c 12.7120
_cell_angle_alpha 90.00
_cell_angle_beta 90.00
_cell_angle_gamma 90.00
loop_
_atom_site_label
_atom_site_type_symbol
_atom_site_fract_x
_atom_site_fract_y
_atom_site_fract_z
Be1 Be 0.0000 0.0000 0.0000
Re1 Re 0.0000 0.0000 0.4112
Br1 Br 0.0000 0.0000 0.7731
# - final energy (eV/atom) = -5.16
# - formation energy from raw total energies (eV/atom) = 0.785
# - spin magnetization (μB/cell) = 0.00


# Nb2CdAgH | Alexandria via LeMat-Bulk | PBE | optimized geometry
data_Nb2CdAgH
_space_group_name_H-M_alt 'P 4/m m m'
_space_group_IT_number 123
_space_group_name_Hall '-P 4 2'
_cell_length_a 5.4094
_cell_length_b 5.4094
_cell_length_c 3.0757
_cell_angle_alpha 90.00
_cell_angle_beta 90.00
_cell_angle_gamma 90.00
loop_
_atom_site_label
_atom_site_type_symbol
_atom_site_fract_x
_atom_site_fract_y
_atom_site_fract_z
Nb1 Nb 0.0000 0.5000 0.0000
Cd1 Cd 0.0000 0.0000 0.5000
Ag1 Ag 0.5000 0.5000 0.0000
H1 H 0.5000 0.5000 0.5000
# - final energy (eV/atom) = -4.35
# - spin magnetization (μB/cell) = 0.00